[1]
Here is a relaxed structure of BaAgPtF6 from the Alexandria database. Energies are from GGA-PBE.

Values from the calculation:
SG = P312 (149)
formation energy without anion corrections = -1.992 eV/atom
magnetization = 1.0 Bohr magnetons per cell

a = 5.3201 Å, b = 6.0811 Å, c = 6.0811 Å
α = 120.00°, β = 90.00°, γ = 90.00°
Last column: nearest neighbours and their distance in Å.
Fractional positions:
Ba  0.0000  0.3333  0.6667  6 F 2.65
Ag  0.5000  0.6667  0.3333  6 F 2.46-2.47
Pt  0.5000  0.0000  0.0000  6 F 2.10
F  0.7167  0.7118  0.7120  1 Pt 2.10
F  0.7167  0.2880  0.9997  1 Pt 2.10
F  0.7167  0.0003  0.2882  1 Pt 2.10
F  0.2833  0.2880  0.2882  1 Pt 2.10
F  0.2833  0.7118  0.9997  1 Pt 2.10
F  0.2833  0.0003  0.7120  1 Pt 2.10

---

[2]
Here is a relaxed structure of ZrFe2Si from the Alexandria database. Energies are from GGA-PBE.

Values from the calculation:
SG = I-4m2 (119)
formation energy without anion corrections = -0.185 eV/atom
magnetization = 4.2 Bohr magnetons per cell

a = 4.5524 Å, b = 4.5524 Å, c = 4.5524 Å
α = 127.31°, β = 127.31°, γ = 77.74°
Last column: nearest neighbours and their distance in Å.
Fractional positions:
Fe  0.0000  0.0000  0.0000  4 Zr 2.69, 4 Fe 2.69, 4 Si 2.86
Fe  0.2500  0.7500  0.5000  4 Fe 2.69, 4 Si 2.69, 4 Zr 2.86
Si  0.5000  0.5000  0.0000  8 Fe 2.69-2.86, 4 Zr 2.69
Zr  0.7500  0.2500  0.5000  8 Fe 2.69-2.86, 4 Si 2.69

---

[3]
Here is a relaxed structure of MoP2PbN from the Alexandria database. Energies are from GGA-PBE.

Values from the calculation:
SG = P4/mmm (123)
formation energy without anion corrections = 2.257 eV/atom
magnetization = 0.0 Bohr magnetons per cell

a = 5.0914 Å, b = 4.0589 Å, c = 5.0914 Å
α = 90.00°, β = 90.00°, γ = 90.00°
Last column: nearest neighbours and their distance in Å.
Fractional positions:
Pb  0.0000  0.0000  0.0000  2 N 2.03
P  0.0000  0.0000  0.5000  2 Pb 2.55
P  0.5000  0.0000  0.0000  2 Pb 2.55
Mo  0.5000  0.5000  0.5000  8 P 3.26, 4 N 3.60
N  0.0000  0.5000  0.0000  2 Pb 2.03

---

[4]
Here is a relaxed structure of Sr2SnHg from the Alexandria database. Energies are from GGA-PBE.

Values from the calculation:
SG = Fm-3m (225)
magnetization = 0.0 Bohr magnetons per cell
ΔE to the lowest computed polymorph = 0 meV per atom
formation energy from the elements = -0.659 eV/atom

a = 5.7164 Å, b = 5.7164 Å, c = 5.7164 Å
α = 60.00°, β = 60.00°, γ = 60.00°
Last column: nearest neighbours and their distance in Å.
Fractional positions:
Sr  0.2500  0.2500  0.2500  4 Hg 3.50, 4 Sn 3.50
Sr  0.7500  0.7500  0.7500  4 Hg 3.50, 4 Sn 3.50
Hg  0.5000  0.5000  0.5000  8 Sr 3.50
Sn  0.0000  0.0000  0.0000  8 Sr 3.50

---

[5]
Here is a relaxed structure of LiSc2Rh from the Alexandria database. Energies are from GGA-PBE.

Values from the calculation:
SG = Pm (6)
magnetization = 0.0 Bohr magnetons per cell
formation energy from the elements = -0.367 eV/atom

a = 4.5561 Å, b = 3.1878 Å, c = 5.2687 Å
α = 72.31°, β = 90.00°, γ = 90.00°
Last column: nearest neighbours and their distance in Å.
Fractional positions:
Li  0.0000  0.7017  0.4733  7 Sc 2.75-2.88, 2 Rh 2.75
Rh  0.5000  0.5463  0.7804  7 Sc 2.74-2.87, 2 Li 2.75
Sc  0.0000  0.9773  0.9199  3 Li 2.75-2.78, 4 Rh 2.87
Sc  0.5000  0.2747  0.3264  3 Rh 2.74-2.78, 4 Li 2.88

---

[6]
Here is a relaxed structure of Hg2BiBr2 from the Alexandria database. Energies are from GGA-PBE.

Values from the calculation:
SG = P4/mbm (127)
formation energy without anion corrections = -0.160 eV/atom
magnetization = 1.5 Bohr magnetons per cell

a = 7.7036 Å, b = 7.7036 Å, c = 6.9139 Å
α = 90.00°, β = 90.00°, γ = 90.00°
Last column: nearest neighbours and their distance in Å.
Fractional positions:
Bi  0.0000  0.0000  0.0000  4 Br 2.86
Bi  0.5000  0.5000  0.0000  4 Br 2.86
Br  0.3308  0.8308  0.0000  2 Bi 2.86
Br  0.8308  0.6692  0.0000  2 Bi 2.86
Br  0.6692  0.1692  0.0000  2 Bi 2.86
Br  0.1692  0.3308  0.0000  2 Bi 2.86
Hg  0.1579  0.6579  0.5000  1 Hg 3.44
Hg  0.6579  0.8421  0.5000  1 Hg 3.44
Hg  0.8421  0.3421  0.5000  1 Hg 3.44
Hg  0.3421  0.1579  0.5000  1 Hg 3.44

---

[7]
Here is a relaxed structure of Tl2In15Sn2 from the Alexandria database. Energies are from GGA-PBE.

Values from the calculation:
SG = R-3m (166)
magnetization = 0.0 Bohr magnetons per cell
ΔE to the lowest computed polymorph = 13 meV per atom
formation energy from the elements = 0.081 eV/atom

a = 9.1474 Å, b = 9.1474 Å, c = 9.1474 Å
α = 60.50°, β = 60.50°, γ = 60.50°
Last column: nearest neighbours and their distance in Å.
Fractional positions:
Tl  0.9135  0.9135  0.9135  9 In 3.21-3.56
Tl  0.0865  0.0865  0.0865  9 In 3.21-3.56
In  0.0000  0.5000  0.0000  2 Tl 3.21, 2 Sn 3.28, 4 In 3.31
In  0.0000  0.0000  0.5000  2 Tl 3.21, 2 Sn 3.28, 4 In 3.31
In  0.5000  0.0000  0.0000  2 Tl 3.21, 2 Sn 3.28, 4 In 3.31
In  0.3242  0.0000  0.6758  5 In 2.99-3.24
In  0.6758  0.3242  0.0000  5 In 2.99-3.24
In  0.0000  0.6758  0.3242  5 In 2.99-3.24
In  0.3242  0.6758  0.0000  5 In 2.99-3.24
In  0.0000  0.3242  0.6758  5 In 2.99-3.24
In  0.6758  0.0000  0.3242  5 In 2.99-3.24
In  0.4318  0.7978  0.4318  8 In 3.08-3.37
In  0.4318  0.4318  0.7978  8 In 3.08-3.37
In  0.7978  0.4318  0.4318  8 In 3.08-3.37
In  0.5682  0.2022  0.5682  8 In 3.08-3.37
In  0.5682  0.5682  0.2022  8 In 3.08-3.37
In  0.2022  0.5682  0.5682  8 In 3.08-3.37
Sn  0.7471  0.7471  0.7471  12 In 3.28-3.60
Sn  0.2529  0.2529  0.2529  12 In 3.28-3.60

---

[8]
Here is a relaxed structure of Fe3Co5 from the Alexandria database. Energies are from GGA-PBE.

Values from the calculation:
SG = Pm (6)
magnetization = 16.7 Bohr magnetons per cell
formation energy from the elements = 0.008 eV/atom

a = 3.9892 Å, b = 4.6990 Å, c = 4.9299 Å
α = 79.37°, β = 90.00°, γ = 90.00°
Last column: nearest neighbours and their distance in Å.
Fractional positions:
Co  0.0000  0.9968  0.0081  3 Fe 2.40-2.44, 5 Co 2.46-2.48
Co  0.5000  0.7511  0.8693  2 Fe 2.42-2.47, 6 Co 2.45-2.48
Co  0.0000  0.5013  0.7446  4 Co 2.44-2.48, 4 Fe 2.45-2.48
Co  0.0000  0.0054  0.5078  3 Fe 2.42-2.45, 5 Co 2.44-2.49
Co  0.5000  0.7461  0.3735  4 Fe 2.44-2.45, 4 Co 2.45-2.49
Fe  0.5000  0.2488  0.6255  6 Co 2.42-2.45, 2 Fe 2.46-2.47
Fe  0.0000  0.5036  0.2467  6 Co 2.40-2.48, 2 Fe 2.46
Fe  0.5000  0.2469  0.1244  4 Co 2.44-2.47, 4 Fe 2.46-2.47

---

[9]
Here is a relaxed structure of TaPH2 from the Alexandria database. Energies are from GGA-PBE.

Values from the calculation:
SG = Fm-3m (225)
magnetization = 0.0 Bohr magnetons per cell
ΔE to the lowest computed polymorph = 104 meV per atom

a = 3.7363 Å, b = 3.7363 Å, c = 3.7363 Å
α = 60.00°, β = 60.00°, γ = 60.00°
Last column: nearest neighbours and their distance in Å.
Fractional positions:
P  0.0000  0.0000  0.0000  8 H 2.29
H  0.2500  0.2500  0.2500  4 P 2.29, 4 Ta 2.29
H  0.7500  0.7500  0.7500  4 Ta 2.29, 4 P 2.29
Ta  0.5000  0.5000  0.5000  8 H 2.29

---

[10]
Here is a relaxed structure of Tb2PrSe3 from the Alexandria database. Energies are from GGA-PBE.

Values from the calculation:
SG = Immm (71)
formation energy without anion corrections = -1.791 eV/atom
magnetization = 0.0 Bohr magnetons per cell

a = 4.1488 Å, b = 5.8685 Å, c = 7.2072 Å
α = 114.02°, β = 106.73°, γ = 90.00°
Last column: nearest neighbours and their distance in Å.
Fractional positions:
Tb  0.8400  0.8400  0.1799  6 Se 2.88-2.94
Tb  0.1600  0.1600  0.8201  6 Se 2.88-2.94
Pr  0.5000  0.5000  0.5000  6 Se 2.93-3.03
Se  0.8235  0.3235  0.1470  4 Tb 2.91-2.94, 2 Pr 3.03
Se  0.1765  0.6765  0.8530  4 Tb 2.91-2.94, 2 Pr 3.03
Se  0.5000  0.0000  0.5000  4 Tb 2.88, 2 Pr 2.93

---

[11]
Here is a relaxed structure of CuOsRu2 from the Alexandria database. Energies are from GGA-PBE.

Values from the calculation:
SG = C2/m (12)
magnetization = 0.0 Bohr magnetons per cell
formation energy from the elements = 0.259 eV/atom

a = 4.6583 Å, b = 4.6583 Å, c = 4.6249 Å
α = 80.87°, β = 80.87°, γ = 33.63°
Last column: nearest neighbours and their distance in Å.
Fractional positions:
Cu  0.7500  0.7500  0.7500  6 Ru 2.64-2.73, 4 Os 2.68, 2 Cu 2.69
Os  0.2500  0.2500  0.2500  6 Ru 2.66-2.71, 4 Cu 2.68, 2 Os 2.69
Ru  0.9952  0.9952  0.0006  3 Cu 2.64-2.73, 3 Os 2.66-2.71, 6 Ru 2.67-2.69
Ru  0.5048  0.5048  0.4994  3 Cu 2.64-2.73, 3 Os 2.66-2.71, 6 Ru 2.67-2.69

---

[12]
Here is a relaxed structure of TmBi2Sb2Pd7 from the Alexandria database. Energies are from GGA-PBE.

Values from the calculation:
SG = C2/m (12)
formation energy without anion corrections = -0.494 eV/atom
magnetization = 0.0 Bohr magnetons per cell

a = 4.1028 Å, b = 4.1028 Å, c = 15.2244 Å
α = 85.49°, β = 85.49°, γ = 89.97°
Last column: nearest neighbours and their distance in Å.
Fractional positions:
Tm  0.0000  0.0000  0.0000  12 Pd 2.90-2.92
Bi  0.8710  0.8710  0.4060  5 Pd 2.80-2.93
Bi  0.1290  0.1290  0.5940  5 Pd 2.80-2.93
Sb  0.5718  0.5718  0.7520  5 Pd 2.65-2.66
Sb  0.4282  0.4282  0.2480  5 Pd 2.65-2.66
Pd  0.5000  0.5000  0.0000  4 Tm 2.90, 8 Pd 2.91
Pd  0.3640  0.3640  0.4234  1 Sb 2.65, 5 Bi 2.80-2.93, 1 Pd 2.96
Pd  0.6360  0.6360  0.5766  1 Sb 2.65, 5 Bi 2.80-2.93, 1 Pd 2.96
Pd  0.9603  0.4597  0.1368  2 Sb 2.65-2.66, 6 Pd 2.90-2.91, 2 Tm 2.91-2.92
Pd  0.4597  0.9603  0.1368  2 Sb 2.65-2.66, 6 Pd 2.90-2.91, 2 Tm 2.91-2.92
Pd  0.5403  0.0397  0.8632  2 Sb 2.65-2.66, 6 Pd 2.90-2.91, 2 Tm 2.91-2.92
Pd  0.0397  0.5403  0.8632  2 Sb 2.65-2.66, 6 Pd 2.90-2.91, 2 Tm 2.91-2.92